# 1
The following is a DFT calculation (GGA-PBE) of crystalline CdSeO2F at its relaxed geometry.

a = 3.9346 Å, b = 3.9346 Å, c = 4.5700 Å
α = 90.00°, β = 90.00°, γ = 90.00°
Last column: nearest neighbours and their distance in Å.
Positions (direct):
Cd (0.0000, 0.0000, 0.0000)  4 F 2.78, 8 O 3.02
Se (0.5000, 0.5000, 0.5000)  4 O 1.97
O (0.0000, 0.5000, 0.5000)  2 Se 1.97
O (0.5000, 0.0000, 0.5000)  2 Se 1.97
F (0.5000, 0.5000, 0.0000)  2 Se 2.29

raw formation energy = -0.532 eV/atom
volume = 14.1 Å³/atom
raw total energy = -3.769 eV/atom

=====

# 2
The following is a DFT calculation (GGA-PBE) of crystalline CdSiOF2 at its relaxed geometry.

a = 4.4583 Å, b = 4.4583 Å, c = 3.3871 Å
α = 90.00°, β = 90.00°, γ = 90.00°
Last column: nearest neighbours and their distance in Å.
Positions (direct):
Cd (0.0000, 0.0000, 0.0000)  8 F 2.80
Si (0.5000, 0.5000, 0.5000)  2 O 1.69
O (0.5000, 0.5000, 0.0000)  2 Si 1.69
F (0.0000, 0.5000, 0.5000)  2 Si 2.23
F (0.5000, 0.0000, 0.5000)  2 Si 2.23

raw formation energy = -1.455 eV/atom
excess energy over the best structure of this formula in the dataset = 0.000 eV/f.u.
volume = 13.5 Å³/atom
raw total energy = -4.463 eV/atom

=====

# 3
The following is a DFT calculation (GGA-PBE) of crystalline CdSiOF2 at its relaxed geometry.

a = 4.2757 Å, b = 4.2757 Å, c = 4.4269 Å
α = 90.00°, β = 90.00°, γ = 90.00°
Last column: nearest neighbours and their distance in Å.
Positions (direct):
Cd (0.0000, 0.0000, 0.0000)  4 F 2.14, 2 O 2.21
Si (0.5000, 0.5000, 0.5000)  4 O 3.02, 8 F 3.08
O (0.0000, 0.0000, 0.5000)  2 Cd 2.21
F (0.0000, 0.5000, 0.0000)  2 Cd 2.14
F (0.5000, 0.0000, 0.0000)  2 Cd 2.14

raw formation energy = -0.745 eV/atom
excess energy over the best structure of this formula in the dataset = 3.549 eV/f.u.
volume = 16.2 Å³/atom
raw total energy = -3.753 eV/atom

=====

# 4
The following is a DFT calculation (GGA-PBE) of crystalline CdSnO2F at its relaxed geometry.

a = 4.1138 Å, b = 4.1138 Å, c = 4.3085 Å
α = 90.00°, β = 90.00°, γ = 90.00°
Last column: nearest neighbours and their distance in Å.
Positions (direct):
Cd (0.0000, 0.0000, 0.0000)  4 F 2.91, 8 O 2.98
Sn (0.5000, 0.5000, 0.5000)  4 O 2.06, 2 F 2.15
O (0.0000, 0.5000, 0.5000)  2 Sn 2.06
O (0.5000, 0.0000, 0.5000)  2 Sn 2.06
F (0.5000, 0.5000, 0.0000)  2 Sn 2.15

raw formation energy = -1.222 eV/atom
volume = 14.6 Å³/atom
raw total energy = -4.563 eV/atom

=====

Look up the raw formation energy of the first one. -0.532 eV/atom